1.
PBE Li2PuI6, relaxed; excess energy over the best structure of this formula in the dataset = 0.0 meV/atom; D(E_F) = 26.31 states/eV/cell; VASP energy = -72.1 eV/cell; raw formation energy = -21.9 kcal/mol of atoms; density = 3.95 g/cm³
1.0
8.245 -7.286 0.000
8.245 7.286 0.000
-3.084 0.000 7.134
Li Pu I
4 2 12
Direct
0.022 0.855 0.858 Li
0.145 0.978 0.642 Li
0.855 0.022 0.358 Li
0.978 0.145 0.142 Li
0.418 0.582 0.750 Pu
0.582 0.418 0.250 Pu
0.048 0.189 0.526 I
0.164 0.604 0.812 I
0.189 0.048 0.026 I
0.318 0.456 0.331 I
0.396 0.836 0.688 I
0.456 0.318 0.831 I
0.544 0.682 0.169 I
0.604 0.164 0.312 I
0.682 0.544 0.669 I
0.811 0.952 0.974 I
0.836 0.396 0.188 I
0.952 0.811 0.474 I

2.
PBE TlSbAu2, relaxed; excess energy over the best structure of this formula in the dataset = 144.4 meV/atom; D(E_F) = 1.68 states/eV/cell; VASP energy = -12.7 eV/cell; raw formation energy = 1.8 kcal/mol of atoms; density = 12.73 g/cm³
1.0
-1.592 2.773 5.320
1.592 -2.773 5.320
1.592 2.773 -5.320
Tl Sb Au
1 1 2
Direct
0.000 0.000 0.000 Tl
0.710 0.210 0.500 Sb
0.260 0.760 0.500 Au
0.483 0.483 0.000 Au